The following is a PBE calculation of a relaxed structure of LaHgMo2, from the Alexandria database.

Lattice parameters (Å, degrees): 3.689 3.689 6.783 90.00 90.00 90.00
Sites, in units of the cell vectors:
Hg 0.500 0.500 0.250
La 0.500 0.500 0.750
Mo 0.000 0.000 0.081
Mo 0.000 0.000 0.419

Results
The calculation puts the total moment at 0.00 μB/f.u. The value obtained for the formation energy is 2.34 eV per formula unit.


The following is a PBE calculation of a relaxed structure of AcThSe2, from the Alexandria database.

Lattice parameters (Å, degrees): 4.143 4.143 8.196 75.36 75.36 60.00
Sites, in units of the cell vectors:
Ac 0.496 0.496 0.512
Th 0.670 0.670 0.990
Se 0.079 0.079 0.764
Se 0.256 0.256 0.233

Results
As for the energy above the lowest structure with this stoichiometry: 0.35 eV per formula unit. The calculation puts the total moment at 0.00 μB/f.u.


| no. | Fermi-level density of states (states/eV per cell) |
| --- | --- |
| 1 | 4.2 |
| 2 | 3.8 |